Material: CePaP2O
Method: DFT, PBE
State: relaxed

Lattice parameters (Å, degrees): 3.934 3.934 13.292 90.00 90.00 90.00
Sites, in units of the cell vectors:
Ce  0.500  0.000  0.596
Ce  0.000  0.500  0.404
Pa  0.500  0.000  0.113
Pa  0.000  0.500  0.887
P  0.000  0.500  0.690
P  0.000  0.500  0.106
P  0.500  0.000  0.894
P  0.500  0.000  0.310
O  0.000  0.000  0.500
O  0.500  0.500  0.500

## Properties
Magnetic moment ... 0.43 Bohr magnetons per cell
D(E_F) ... 8.96 states/eV/cell
Formation energy from raw total energies ... -1788 meV per atom
Space group ... P4/nmm (129)
Total energy ... -8.03 eV per atom